1.
Entry from the Alexandria database: CoNiHg2 after structural relaxation (PBE).

Values from the calculation:
Excess energy over the best structure of this formula in the dataset = 0.0 meV per atom
Electronic total energy = -12.3 eV/cell
Spin magnetization = 2.3 Bohr magnetons per cell
Formation energy = 1.23 eV/f.u.

```
CoNiHg2
1.0
2.9705 0.0000 0.0000
0.0000 2.9705 0.0000
0.0000 0.0000 7.5599
Co Ni Hg
1 1 2
Direct
0.0000 0.0000 0.0000
0.5000 0.5000 0.8346
0.0000 0.0000 0.5911
0.5000 0.5000 0.2487
```

2.
Entry from the Alexandria database: Pr8C3Br3N after structural relaxation (PBE).

Values from the calculation:
Electronic total energy = -91.6 eV/cell
Spin magnetization = 1.0 Bohr magnetons per cell
Energy relative to the elements, uncorrected = -0.825 eV/atom

```
Pr8C3Br3N
1.0
6.5984 -3.8146 0.0000
6.5984 3.8146 0.0000
-4.3950 0.0000 7.4406
Pr C Br N
8 3 3 1
Direct
0.2281 0.2281 0.6855
0.2280 0.7292 0.6853
0.2713 0.2713 0.3139
0.2708 0.7720 0.3147
0.7292 0.2280 0.6853
0.7287 0.7287 0.6861
0.7720 0.2708 0.3147
0.7719 0.7719 0.3145
0.0000 0.5000 0.5000
0.5000 0.0000 0.5000
0.5000 0.5000 0.5000
0.0000 0.0000 0.0000
0.0000 0.5000 0.0000
0.5000 0.0000 0.0000
0.0000 0.0000 0.5000
```

3.
Entry from the Alexandria database: CsCuRhSe2 after structural relaxation (PBE).

Values from the calculation:
Electronic total energy = -43.1 eV/cell
Spin magnetization = 0.0 Bohr magnetons per cell
Energy relative to the elements, uncorrected = -0.451 eV/atom

```
CsCuRhSe2
1.0
2.8134 -7.0487 0.0000
2.8134 7.0487 0.0000
0.0000 0.0000 7.0655
Cs Cu Rh Se
2 2 2 4
Direct
0.2500 0.7500 0.7654
0.7500 0.2500 0.2346
0.0000 0.0000 0.5000
0.5000 0.5000 0.5000
0.2500 0.2500 0.0000
0.7500 0.7500 0.0000
0.0888 0.9112 0.2260
0.4112 0.5888 0.2260
0.5888 0.4112 0.7740
0.9112 0.0888 0.7740
```

4.
Entry from the Alexandria database: PaInAgSn after structural relaxation (PBE).

Values from the calculation:
Electronic total energy = -75.0 eV/cell
Spin magnetization = 2.9 Bohr magnetons per cell
Formation energy = 0.34 eV/f.u.

```
PaInAgSn
1.0
7.2858 0.0000 0.0000
0.0000 7.2858 0.0000
0.0000 0.0000 7.2858
Pa In Ag Sn
4 4 4 4
Direct
0.0000 0.0000 0.0000
0.0000 0.5000 0.5000
0.5000 0.0000 0.5000
0.5000 0.5000 0.0000
0.2500 0.2500 0.2500
0.2500 0.7500 0.7500
0.7500 0.2500 0.7500
0.7500 0.7500 0.2500
0.0000 0.0000 0.5000
0.0000 0.5000 0.0000
0.5000 0.0000 0.0000
0.5000 0.5000 0.5000
0.2500 0.2500 0.7500
0.2500 0.7500 0.2500
0.7500 0.2500 0.2500
0.7500 0.7500 0.7500
```

5.
Entry from the Alexandria database: SrRe2TeAs after structural relaxation (PBE).

Values from the calculation:
Electronic total energy = -26.9 eV/cell
Spin magnetization = 2.8 Bohr magnetons per cell
Energy relative to the elements, uncorrected = 1.500 eV/atom

```
SrRe2TeAs
1.0
4.9424 0.0000 0.0000
0.0000 4.9424 0.0000
0.0000 0.0000 5.5585
Sr Re Te As
1 2 1 1
Direct
0.0000 0.0000 0.0000
0.0000 0.5000 0.5000
0.5000 0.0000 0.5000
0.5000 0.5000 0.5000
0.5000 0.5000 0.0000
```

6.
Entry from the Alexandria database: Cs2CaSiO4 after structural relaxation (PBE).

Values from the calculation:
Electronic total energy = -94.1 eV/cell
Spin magnetization = 0.0 Bohr magnetons per cell
Energy relative to the elements, uncorrected = -2.261 eV/atom

```
Cs2CaSiO4
1.0
0.0000 6.1215 11.8504
2.7648 0.0000 11.8504
2.7648 6.1215 0.0000
Cs Ca Si O
4 2 2 8
Direct
0.0542 0.0542 0.6958
0.3042 0.3042 0.9458
0.6958 0.6958 0.0542
0.9458 0.9458 0.3042
0.1250 0.1250 0.1250
0.8750 0.8750 0.8750
0.3750 0.3750 0.3750
0.6250 0.6250 0.6250
0.0751 0.5983 0.5155
0.3111 0.5155 0.5983
0.4017 0.9249 0.6889
0.4845 0.6889 0.9249
0.5155 0.3111 0.0751
0.5983 0.0751 0.3111
0.6889 0.4845 0.4017
0.9249 0.4017 0.4845
```

7.
Entry from the Alexandria database: Ho5Mg2Cd2 after structural relaxation (PBE).

Values from the calculation:
Electronic total energy = -56.1 eV/cell
Spin magnetization = 0.0 Bohr magnetons per cell
Formation energy = -0.12 eV/f.u.

```
Ho5Mg2Cd2
1.0
8.6924 -3.8599 0.0000
8.6924 3.8599 0.0000
0.0000 0.0000 7.6159
Ho Mg Cd
10 4 4
Direct
0.0000 0.0000 0.0000
0.0438 0.6725 0.6783
0.1725 0.5438 0.1783
0.3275 0.9562 0.6783
0.4562 0.8275 0.1783
0.5000 0.5000 0.5000
0.5438 0.1725 0.8217
0.6725 0.0438 0.3217
0.8275 0.4562 0.8217
0.9562 0.3275 0.3217
0.1256 0.8744 0.3767
0.3744 0.6256 0.8767
0.6256 0.3744 0.1233
0.8744 0.1256 0.6233
0.2193 0.2193 0.0000
0.2807 0.2807 0.5000
0.7193 0.7193 0.5000
0.7807 0.7807 0.0000
```

8.
Entry from the Alexandria database: K5In4 after structural relaxation (PBE).

Values from the calculation:
Electronic total energy = -16.6 eV/cell
Spin magnetization = 0.4 Bohr magnetons per cell
Formation energy = -0.19 eV/f.u.

```
K5In4
1.0
-5.8755 5.8755 2.4802
5.8755 -5.8755 2.4802
5.8755 5.8755 -2.4802
K In
5 4
Direct
0.0000 0.0000 0.0000
0.3245 0.3245 0.6490
0.3245 0.6755 0.0000
0.6755 0.3245 0.0000
0.6755 0.6755 0.3510
0.0000 0.3648 0.3648
0.0000 0.6352 0.6352
0.3648 0.0000 0.3648
0.6352 0.0000 0.6352
```

9.
Entry from the Alexandria database: CaSm3 after structural relaxation (PBE).

Values from the calculation:
Electronic total energy = -15.8 eV/cell
Spin magnetization = 0.0 Bohr magnetons per cell
Formation energy = 0.39 eV/f.u.

```
CaSm3
1.0
5.1860 0.0000 0.0000
0.0000 5.1860 0.0000
0.0000 0.0000 5.1860
Ca Sm
1 3
Direct
0.0000 0.0000 0.0000
0.0000 0.5000 0.5000
0.5000 0.0000 0.5000
0.5000 0.5000 0.0000
```

10.
Entry from the Alexandria database: Ho3SnHg2 after structural relaxation (PBE).

Values from the calculation:
Electronic total energy = -21.5 eV/cell
Spin magnetization = 0.0 Bohr magnetons per cell
Formation energy = -3.21 eV/f.u.

```
Ho3SnHg2
1.0
5.2518 0.0000 0.0000
-2.6259 4.5482 0.0000
0.0000 0.0000 6.4759
Ho Sn Hg
3 1 2
Direct
0.0000 0.0000 0.0000
0.3333 0.6667 0.6598
0.6667 0.3333 0.3402
0.0000 0.0000 0.5000
0.3333 0.6667 0.1389
0.6667 0.3333 0.8611
```

11.
Entry from the Alexandria database: PuNb2In after structural relaxation (PBE).

Values from the calculation:
Electronic total energy = -36.6 eV/cell
Spin magnetization = 4.7 Bohr magnetons per cell
Formation energy = 0.57 eV/f.u.

```
PuNb2In
1.0
4.6390 0.0000 0.0000
0.0000 4.6390 0.0000
0.0000 0.0000 3.7406
Pu Nb In
1 2 1
Direct
0.0000 0.0000 0.0000
0.0000 0.5000 0.5000
0.5000 0.0000 0.5000
0.5000 0.5000 0.0000
```

12.
Entry from the Alexandria database: TiH after structural relaxation (PBE).

Values from the calculation:
Electronic total energy = -68.7 eV/cell
Spin magnetization = 0.0 Bohr magnetons per cell

```
TiH
1.0
7.1578 0.0000 0.0000
-3.5789 6.1988 0.0000
0.0000 0.0000 3.0422
Ti H
6 6
Direct
0.1380 0.7191 0.2500
0.2809 0.4190 0.2500
0.4190 0.1380 0.7500
0.5810 0.8620 0.2500
0.7191 0.5810 0.7500
0.8620 0.2809 0.7500
0.0217 0.4106 0.2500
0.3889 0.9783 0.2500
0.4106 0.3889 0.7500
0.5894 0.6111 0.2500
0.6111 0.0217 0.7500
0.9783 0.5894 0.7500
```

13.
Entry from the Alexandria database: BeSiRh2 after structural relaxation (PBE).

Values from the calculation:
Excess energy over the best structure of this formula in the dataset = 388.4 meV per atom
Electronic total energy = -51.2 eV/cell
Spin magnetization = 0.0 Bohr magnetons per cell
Energy relative to the elements, uncorrected = -0.432 eV/atom

```
BeSiRh2
1.0
3.4420 0.0000 0.0000
0.0000 3.4420 0.0000
0.0000 0.0000 8.3722
Be Si Rh
2 2 4
Direct
0.0000 0.0000 0.0000
0.5000 0.5000 0.5000
0.0000 0.5000 0.2500
0.5000 0.0000 0.7500
0.0000 0.0000 0.5000
0.0000 0.5000 0.7500
0.5000 0.0000 0.2500
0.5000 0.5000 0.0000
```

14.
Entry from the Alexandria database: TeP2Cl after structural relaxation (PBE).

Values from the calculation:
Excess energy over the best structure of this formula in the dataset = 201.5 meV per atom
Electronic total energy = -30.8 eV/cell
Spin magnetization = 0.0 Bohr magnetons per cell
Energy relative to the elements, uncorrected = 0.104 eV/atom

```
TeP2Cl
1.0
12.2643 0.0000 0.0000
0.0000 3.2652 0.0000
-0.6068 0.0000 5.0033
Te P Cl
2 4 2
Direct
0.0000 0.0000 0.0000
0.5000 0.5000 0.0000
0.2274 0.0000 0.1265
0.2726 0.5000 0.8735
0.7274 0.5000 0.1265
0.7726 0.0000 0.8735
0.0000 0.5000 0.5000
0.5000 0.0000 0.5000
```

15.
Entry from the Alexandria database: Tm5InPb6 after structural relaxation (PBE).

Values from the calculation:
Electronic total energy = -51.4 eV/cell
Spin magnetization = 0.0 Bohr magnetons per cell
Formation energy = -4.07 eV/f.u.

```
Tm5InPb6
1.0
-2.4075 4.4756 7.6718
2.4075 -4.4756 7.6718
2.4075 4.4756 -7.6718
Tm In Pb
5 1 6
Direct
0.0000 0.0000 0.0000
0.1727 0.6727 0.5000
0.3559 0.3559 0.0000
0.6441 0.6441 0.0000
0.8273 0.3273 0.5000
0.5000 0.0000 0.5000
0.0762 0.8298 0.2464
0.2330 0.5000 0.7330
0.4166 0.1702 0.2464
0.5834 0.8298 0.7536
0.7670 0.5000 0.2670
0.9238 0.1702 0.7536
```

16.
Entry from the Alexandria database: RbBaHoBr6 after structural relaxation (PBE).

Values from the calculation:
Electronic total energy = -70.4 eV/cell
Spin magnetization = 0.0 Bohr magnetons per cell
Energy relative to the elements, uncorrected = -1.966 eV/atom

```
RbBaHoBr6
1.0
8.0219 0.0000 0.0000
-4.0110 6.9472 0.0000
0.0000 0.0000 14.1443
Rb Ba Ho Br
2 2 2 12
Direct
0.0000 0.0000 0.0000
0.0000 0.0000 0.5000
0.3333 0.6667 0.2500
0.6667 0.3333 0.7500
0.3333 0.6667 0.7500
0.6667 0.3333 0.2500
0.0414 0.3883 0.6350
0.0414 0.6531 0.8650
0.3469 0.3883 0.8650
0.3469 0.9586 0.6350
0.3883 0.0414 0.1350
0.3883 0.3469 0.3650
0.6117 0.6531 0.6350
0.6117 0.9586 0.8650
0.6531 0.0414 0.3650
0.6531 0.6117 0.1350
0.9586 0.3469 0.1350
0.9586 0.6117 0.3650
```

17.
Entry from the Alexandria database: HoMgSc2 after structural relaxation (PBE).

Values from the calculation:
Excess energy over the best structure of this formula in the dataset = 42.9 meV per atom
Electronic total energy = -18.6 eV/cell
Spin magnetization = 0.0 Bohr magnetons per cell
Formation energy = 0.19 eV/f.u.

```
HoMgSc2
1.0
4.6583 0.0000 0.0000
0.0000 4.6583 0.0000
0.0000 0.0000 4.7384
Ho Mg Sc
1 1 2
Direct
0.0000 0.0000 0.0000
0.5000 0.5000 0.0000
0.0000 0.5000 0.5000
0.5000 0.0000 0.5000
```

18.
Entry from the Alexandria database: SrCa2Cu3O6 after structural relaxation (PBE).

Values from the calculation:
Electronic total energy = -67.3 eV/cell
Spin magnetization = 0.5 Bohr magnetons per cell
Energy relative to the elements, uncorrected = -1.636 eV/atom

```
SrCa2Cu3O6
1.0
3.7941 0.0000 0.0000
0.0000 3.7941 0.0000
0.0000 0.0000 11.8229
Sr Ca Cu O
1 2 3 6
Direct
0.0000 0.0000 0.0000
0.0000 0.0000 0.2891
0.0000 0.0000 0.7109
0.5000 0.5000 0.1601
0.5000 0.5000 0.5000
0.5000 0.5000 0.8399
0.0000 0.5000 0.1509
0.0000 0.5000 0.8491
0.5000 0.0000 0.1509
0.5000 0.0000 0.8491
0.5000 0.5000 0.3495
0.5000 0.5000 0.6505
```

19.
Entry from the Alexandria database: NaMgNO2 after structural relaxation (PBE).

Values from the calculation:
Electronic total energy = -18.0 eV/cell
Spin magnetization = 4.0 Bohr magnetons per cell
Energy relative to the elements, uncorrected = 0.629 eV/atom

```
NaMgNO2
1.0
4.1112 0.0000 0.0000
0.0000 4.1112 0.0000
0.0000 0.0000 4.1314
Na Mg N O
1 1 1 2
Direct
0.0000 0.0000 0.0000
0.5000 0.5000 0.5000
0.0000 0.0000 0.5000
0.0000 0.5000 0.0000
0.5000 0.0000 0.0000
```

20.
Entry from the Alexandria database: Ba2CdGa3 after structural relaxation (PBE).

Values from the calculation:
Excess energy over the best structure of this formula in the dataset = 2.1 meV per atom
Electronic total energy = -32.5 eV/cell
Spin magnetization = 0.0 Bohr magnetons per cell
Formation energy = -2.39 eV/f.u.

```
Ba2CdGa3
1.0
4.4401 0.0000 0.0000
0.0000 5.0159 0.0000
0.0000 0.0000 16.4298
Ba Cd Ga
4 2 6
Direct
0.0000 0.0000 0.0000
0.0000 0.5000 0.2619
0.5000 0.0000 0.7619
0.5000 0.5000 0.5000
0.0000 0.0000 0.5899
0.5000 0.5000 0.0899
0.0000 0.0000 0.4167
0.0000 0.5000 0.6776
0.0000 0.5000 0.8393
0.5000 0.0000 0.1776
0.5000 0.0000 0.3393
0.5000 0.5000 0.9167
```

21.
Entry from the Alexandria database: Nd5Er after structural relaxation (PBE).

Values from the calculation:
Electronic total energy = -56.6 eV/cell
Spin magnetization = 0.0 Bohr magnetons per cell
Formation energy = 0.08 eV/f.u.

```
Nd5Er
1.0
5.1709 0.0000 0.0000
0.0000 10.9397 0.0000
0.0000 0.0000 7.3010
Nd Er
10 2
Direct
0.2500 0.0830 0.1237
0.2500 0.0849 0.6266
0.2500 0.4151 0.6266
0.2500 0.4170 0.1237
0.2500 0.7500 0.6261
0.7500 0.2500 0.3739
0.7500 0.5830 0.8763
0.7500 0.5849 0.3734
0.7500 0.9151 0.3734
0.7500 0.9170 0.8763
0.2500 0.7500 0.1232
0.7500 0.2500 0.8768
```

22.
Entry from the Alexandria database: Cs3InOs after structural relaxation (PBE).

Values from the calculation:
Excess energy over the best structure of this formula in the dataset = 0.0 meV per atom
Electronic total energy = -10.4 eV/cell
Spin magnetization = 0.0 Bohr magnetons per cell
Formation energy = 6.10 eV/f.u.

```
Cs3InOs
1.0
6.1406 0.0000 0.0000
0.0000 6.1406 0.0000
0.0000 0.0000 6.1406
Cs In Os
3 1 1
Direct
0.0000 0.0000 0.5000
0.0000 0.5000 0.0000
0.5000 0.0000 0.0000
0.5000 0.5000 0.5000
0.0000 0.0000 0.0000
```

23.
Entry from the Alexandria database: Ac4IrPt2 after structural relaxation (PBE).

Values from the calculation:
Excess energy over the best structure of this formula in the dataset = 284.1 meV per atom
Electronic total energy = -83.2 eV/cell
Spin magnetization = 0.0 Bohr magnetons per cell
Formation energy = -4.21 eV/f.u.

```
Ac4IrPt2
1.0
5.8276 0.0000 0.0000
0.0000 5.8276 0.0000
0.0000 0.0000 14.5874
Ac Ir Pt
8 2 4
Direct
0.0000 0.0000 0.2048
0.0000 0.0000 0.7952
0.0000 0.5000 0.0000
0.0000 0.5000 0.5000
0.5000 0.0000 0.0000
0.5000 0.0000 0.5000
0.5000 0.5000 0.2952
0.5000 0.5000 0.7048
0.0000 0.0000 0.0000
0.5000 0.5000 0.5000
0.0000 0.0000 0.4005
0.0000 0.0000 0.5995
0.5000 0.5000 0.0995
0.5000 0.5000 0.9005
```

24.
Entry from the Alexandria database: K3Tc5 after structural relaxation (PBE).

Values from the calculation:
Electronic total energy = -90.6 eV/cell
Spin magnetization = 0.0 Bohr magnetons per cell
Formation energy = 9.80 eV/f.u.

```
K3Tc5
1.0
11.4703 0.0000 0.0000
-5.7351 9.9336 0.0000
0.0000 0.0000 4.3852
K Tc
6 10
Direct
0.0000 0.3685 0.2500
0.0000 0.6315 0.7500
0.3685 0.0000 0.2500
0.3685 0.3685 0.7500
0.6315 0.0000 0.7500
0.6315 0.6315 0.2500
0.0000 0.1257 0.7500
0.0000 0.8743 0.2500
0.1257 0.0000 0.7500
0.1257 0.1257 0.2500
0.3333 0.6667 0.0000
0.3333 0.6667 0.5000
0.6667 0.3333 0.0000
0.6667 0.3333 0.5000
0.8743 0.0000 0.2500
0.8743 0.8743 0.7500
```